Computed, not measured: a relaxed Ca3Cd2FeO6 crystal at the PBE with a Hubbard U level of DFT.

The space group is C2/m (No. 12) and the conventional cell measures 5.813, 10.256 and 5.677 Å, with angles of 90.00, 108.85 and 90.00 degrees. The asymmetric unit holds Ca at (0.000, 0.000, 0.000), Ca at (0.000, 0.333, 0.000), Cd at (0.000, 0.168, 0.500), Fe at (0.000, 0.500, 0.500), O at (0.228, 0.500, 0.262) and O at (0.250, 0.162, 0.248).

The crystal system is monoclinic. The total energy is -0.207 Ha/atom.